Density functional theory data (PBE-GGA) for crystalline CdTe2Pd8 at its relaxed geometry.

Cell: 15.1322 4.1601 6.4221 Å, 90.00 109.20 90.00°
Last column: nearest neighbours and their distance in Å.
Space group C2/m (No. 12)
Symmetry-distinct sites (fractional):
Cd  0.0000  0.0000  0.0000 (multiplicity 2)  12 Pd 2.81-2.98
Te  0.1962  0.5000  0.6617 (multiplicity 4)  7 Pd 2.62-2.78
Pd  0.0367  0.5000  0.7391 (multiplicity 4)  1 Te 2.62, 5 Pd 2.81-2.90, 2 Cd 2.84
Pd  0.0872  0.0000  0.4596 (multiplicity 4)  2 Te 2.71, 1 Cd 2.81, 8 Pd 2.81-3.01
Pd  0.1437  0.5000  0.2050 (multiplicity 4)  3 Te 2.77-3.09, 7 Pd 2.87-3.09, 2 Cd 2.98
Pd  0.1784  0.0000  0.9314 (multiplicity 4)  3 Te 2.68-2.78, 1 Cd 2.87, 7 Pd 2.88-2.95

Calculated values
As for the density of states at the Fermi level: 5.1 states/eV/f.u. Its energy relative to the lowest polymorph listed for this composition is 0.000 eV/atom. The energy comes out at -4.723 eV/atom. The calculation puts the magnetic moment at 0.000 μB per atom. For the formation energy (no corrections), the calculation gives -0.2925 eV/atom.